Material: Pr3Sm2Tl2
Method: DFT, PBE
State: relaxed

a = 13.4218 Å, b = 3.8718 Å, c = 8.9103 Å
α = 90.00°, β = 99.00°, γ = 90.00°
Last column: nearest neighbours and their distance in Å.
Space group C2/m (No. 12)
Unique sites:
Pr: 0.0000 0.0000 0.0000 (multiplicity 2)  4 Tl 3.31
Pr: 0.2422 0.5000 0.1666 (multiplicity 4)  2 Tl 3.37, 2 Pr 3.58, 3 Sm 3.60-3.63
Sm: 0.1328 0.0000 0.4448 (multiplicity 4)  4 Tl 3.33-3.43, 3 Pr 3.60-3.63, 2 Sm 3.69
Tl: 0.0540 0.5000 0.7219 (multiplicity 4)  4 Pr 3.31-3.37, 4 Sm 3.33-3.43

The formation enthalpy at 0 K comes out at -0.202 eV per atom. As for the volume: 457 Å³ per cell. The value obtained for the total energy is -59.84 eV for the cell shown. The calculation puts the polymorph energy (0 for the lowest one) at 0.0 meV/atom.